VASP calculation (PBE) on an optimized crystal structure of BaY2F7.

Results
As for the crystal system: orthorhombic. As for the magnetization: 0.052 μB/atom. The density is 4281 kg/m³. The calculation puts the raw formation energy at -38.01 eV/f.u.

Cell: 7.0775 11.3803 4.3160 Å, 90.00 90.00 90.00°
With the nearest neighbours (Å) after each atom.
Space group Cmmm (No. 65)
Symmetry-distinct sites (fractional):
Ba 0.0000 0.0000 0.0000 (multiplicity 2)  10 F 2.88-3.00
Y 0.0000 0.3104 0.5000 (multiplicity 4)  7 F 2.16-2.33
F 0.0000 0.2532 0.0000 (multiplicity 4)  2 Y 2.25
F 0.0000 0.5000 0.5000 (multiplicity 2)  2 Y 2.16
F 0.1865 0.1413 0.5000 (multiplicity 8)  2 Y 2.29-2.33